No. 1
DFT (PBE-GGA) results for a relaxed InSb2PdRh crystal.

Cell lengths 5.435, 5.435, 4.883 Å; angles 90.00, 90.00, 90.00 degrees
Positions (direct):
1 In 0.000 0.000 0.000
2 Sb 0.000 0.500 0.000
3 Sb 0.500 0.000 0.000
4 Pd 0.500 0.500 0.500
5 Rh 0.000 0.000 0.500

Results
VASP energy: -3.60 eV/atom
DOS at the Fermi energy: 0.540 states/eV per atom
Symmetry: No. 123



No. 2
DFT (PBE-GGA) results for a relaxed ScInPdRh crystal.

Cell lengths 4.743, 4.743, 4.743 Å; angles 125.05, 125.05, 81.45 degrees
Positions (direct):
1 Sc 0.000 0.000 0.000
2 In 0.500 0.500 0.000
3 Pd 0.750 0.250 0.500
4 Rh 0.250 0.750 0.500

Results
VASP energy: -6.20 eV/atom
ΔE_f: -801 meV/atom
DOS at the Fermi energy: 0.518 states/eV per atom
Symmetry: No. 119



No. 3
DFT (PBE-GGA) results for a relaxed Sc5In2Pd2Rh crystal.

Cell lengths 11.190, 11.190, 3.306 Å; angles 90.00, 90.00, 90.00 degrees
Positions (direct):
1 Sc 0.000 0.500 0.000
2 Sc 0.064 0.189 0.000
3 Sc 0.189 0.936 0.000
4 Sc 0.311 0.436 0.000
5 Sc 0.436 0.689 0.000
6 Sc 0.500 0.000 0.000
7 Sc 0.564 0.311 0.000
8 Sc 0.689 0.564 0.000
9 Sc 0.811 0.064 0.000
10 Sc 0.936 0.811 0.000
11 In 0.174 0.674 0.500
12 In 0.326 0.174 0.500
13 In 0.674 0.826 0.500
14 In 0.826 0.326 0.500
15 Pd 0.134 0.366 0.500
16 Pd 0.366 0.866 0.500
17 Pd 0.634 0.134 0.500
18 Pd 0.866 0.634 0.500
19 Rh 0.000 0.000 0.500
20 Rh 0.500 0.500 0.500

Results
VASP energy: -6.16 eV/atom
ΔE_f: -671 meV/atom
DOS at the Fermi energy: 0.529 states/eV per atom
Symmetry: No. 127



No. 4
DFT (PBE-GGA) results for a relaxed Sc4InPd2Rh crystal.

Cell lengths 8.220, 8.220, 8.220 Å; angles 33.59, 33.59, 33.59 degrees
Positions (direct):
1 Sc 0.116 0.116 0.116
2 Sc 0.368 0.368 0.368
3 Sc 0.632 0.632 0.632
4 Sc 0.884 0.884 0.884
5 In 0.500 0.500 0.500
6 Pd 0.245 0.245 0.245
7 Pd 0.755 0.755 0.755
8 Rh 0.000 0.000 0.000

Results
VASP energy: -6.52 eV/atom
ΔE_f: -793 meV/atom
DOS at the Fermi energy: 0.653 states/eV per atom
Symmetry: No. 166



No. 5
DFT (PBE-GGA) results for a relaxed In2PdRh2Se6 crystal.

Cell lengths 6.654, 6.654, 6.935 Å; angles 99.11, 99.11, 120.52 degrees
Positions (direct):
1 In 0.167 0.833 0.000
2 In 0.833 0.167 0.000
3 Pd 0.000 0.000 0.500
4 Rh 0.331 0.669 0.500
5 Rh 0.669 0.331 0.500
6 Se 0.061 0.412 0.701
7 Se 0.267 0.267 0.309
8 Se 0.412 0.061 0.701
9 Se 0.588 0.939 0.299
10 Se 0.733 0.733 0.691
11 Se 0.939 0.588 0.299

Results
VASP energy: -4.58 eV/atom
DOS at the Fermi energy: 0.338 states/eV per atom
Symmetry: No. 12



No. 6
DFT (PBE-GGA) results for a relaxed SmInPdRh crystal.

Cell lengths 4.815, 4.815, 4.815 Å; angles 60.00, 60.00, 60.00 degrees
Positions (direct):
1 Sm 0.000 0.000 0.000
2 In 0.500 0.500 0.500
3 Pd 0.750 0.750 0.750
4 Rh 0.250 0.250 0.250

Results
VASP energy: -5.68 eV/atom
ΔE_f: -682 meV/atom
DOS at the Fermi energy: 0.846 states/eV per atom
Symmetry: No. 216



No. 7
DFT (PBE-GGA) results for a relaxed Sr2In4Pd3Rh crystal.

Cell lengths 4.596, 4.596, 11.201 Å; angles 90.00, 90.00, 90.00 degrees
Positions (direct):
1 Sr 0.000 0.500 0.237
2 Sr 0.500 0.000 0.763
3 In 0.000 0.000 0.500
4 In 0.000 0.500 0.876
5 In 0.500 0.000 0.124
6 In 0.500 0.500 0.500
7 Pd 0.000 0.000 0.000
8 Pd 0.000 0.500 0.636
9 Pd 0.500 0.000 0.364
10 Rh 0.500 0.500 0.000

Results
VASP energy: -4.29 eV/atom
ΔE_f: -565 meV/atom
DOS at the Fermi energy: 0.486 states/eV per atom
Symmetry: No. 115



No. 8
DFT (PBE-GGA) results for a relaxed Sr2In6PdRh crystal.

Cell lengths 7.350, 7.350, 7.350 Å; angles 60.00, 60.00, 60.00 degrees
Positions (direct):
1 Sr 0.250 0.250 0.250
2 Sr 0.750 0.750 0.750
3 In 0.249 0.249 0.751
4 In 0.249 0.751 0.249
5 In 0.249 0.751 0.751
6 In 0.751 0.249 0.249
7 In 0.751 0.249 0.751
8 In 0.751 0.751 0.249
9 Pd 0.500 0.500 0.500
10 Rh 0.000 0.000 0.000

Results
VASP energy: -3.55 eV/atom
ΔE_f: -318 meV/atom
DOS at the Fermi energy: 0.402 states/eV per atom
Symmetry: No. 225



No. 9
DFT (PBE-GGA) results for a relaxed Sr2In5PdRh2 crystal.

Cell lengths 10.902, 10.902, 3.880 Å; angles 90.00, 90.00, 90.00 degrees
Positions (direct):
1 Sr 0.182 0.318 0.000
2 Sr 0.318 0.818 0.000
3 Sr 0.682 0.182 0.000
4 Sr 0.818 0.682 0.000
5 In 0.000 0.500 0.500
6 In 0.056 0.804 0.500
7 In 0.196 0.056 0.500
8 In 0.304 0.556 0.500
9 In 0.444 0.304 0.500
10 In 0.500 0.000 0.500
11 In 0.556 0.696 0.500
12 In 0.696 0.444 0.500
13 In 0.804 0.944 0.500
14 In 0.944 0.196 0.500
15 Pd 0.000 0.000 0.000
16 Pd 0.500 0.500 0.000
17 Rh 0.121 0.621 0.000
18 Rh 0.379 0.121 0.000
19 Rh 0.621 0.879 0.000
20 Rh 0.879 0.379 0.000

Results
VASP energy: -4.08 eV/atom
ΔE_f: -388 meV/atom
DOS at the Fermi energy: 0.527 states/eV per atom
Symmetry: No. 127



No. 10
DFT (PBE-GGA) results for a relaxed SrInPdRh crystal.

Cell lengths 4.877, 4.877, 4.877 Å; angles 60.00, 60.00, 60.00 degrees
Positions (direct):
1 Sr 0.000 0.000 0.000
2 In 0.500 0.500 0.500
3 Pd 0.250 0.250 0.250
4 Rh 0.750 0.750 0.750

Results
VASP energy: -4.59 eV/atom
ΔE_f: -349 meV/atom
DOS at the Fermi energy: 0.392 states/eV per atom
Symmetry: No. 216



No. 11
DFT (PBE-GGA) results for a relaxed TaInPdRh crystal.

Cell lengths 4.570, 4.570, 4.570 Å; angles 60.00, 60.00, 60.00 degrees
Positions (direct):
1 Ta 0.000 0.000 0.000
2 In 0.500 0.500 0.500
3 Pd 0.750 0.750 0.750
4 Rh 0.250 0.250 0.250

Results
VASP energy: -7.11 eV/atom
ΔE_f: -325 meV/atom
DOS at the Fermi energy: 0.965 states/eV per atom
Symmetry: No. 216



No. 12
DFT (PBE-GGA) results for a relaxed Tb4InPdRh2 crystal.

Cell lengths 8.682, 8.682, 8.682 Å; angles 33.62, 33.62, 33.62 degrees
Positions (direct):
1 Tb 0.119 0.119 0.119
2 Tb 0.370 0.370 0.370
3 Tb 0.630 0.630 0.630
4 Tb 0.881 0.881 0.881
5 In 0.500 0.500 0.500
6 Pd 0.000 0.000 0.000
7 Rh 0.248 0.248 0.248
8 Rh 0.752 0.752 0.752

Results
VASP energy: -5.85 eV/atom
ΔE_f: -703 meV/atom
DOS at the Fermi energy: 0.758 states/eV per atom
Symmetry: No. 166